(1)
9
Lattice="3.8923 0.0000 0.0000 0.0000 6.7653 3.8952 0.0000 -6.7653 3.8952" Properties=species:S:1:pos:R:3 comment="GdTm2Tl3PtAu2, optimized geometry, DFT GGA-PBE" magnetic_moment_mub_per_atom=0.001 space_group=Amm2 pbc="T T T"
Gd 0.0000 0.0000 0.0000
Tm 0.0000 -2.6876 3.1368
Tm 0.0000 2.6876 3.1368
Tl 1.9462 0.0000 2.6242
Tl 1.9462 -1.7718 5.7092
Tl 1.9462 1.7718 5.7092
Pt 0.0000 0.0000 4.6501
Au 1.9462 -4.4716 4.6932
Au 1.9462 4.4716 4.6932


(2)
8
Lattice="3.5262 0.0000 0.0000 0.0000 6.0137 0.0000 0.0000 0.0000 6.7737" Properties=species:S:1:pos:R:3 comment="AsPtAuO, optimized geometry, DFT GGA-PBE" de_polymorph_mev_per_atom=0 magnetic_moment_mub_per_atom=0.000 space_group=Pmc2_1 pbc="T T T"
As 0.0000 1.2711 0.0000
As 0.0000 4.7426 3.3869
Pt 1.7631 2.7793 0.7077
Pt 1.7631 3.2344 4.0946
Au 0.0000 1.0994 4.3311
Au 0.0000 4.9143 0.9442
O 1.7631 1.9349 2.5413
O 1.7631 4.0788 5.9281


(3)
8
Lattice="3.5088 0.0000 0.0000 -1.7544 3.0387 0.0000 0.0000 0.0000 14.9980" Properties=species:S:1:pos:R:3 comment="Y4CdCuN2, optimized geometry, DFT GGA-PBE" magnetic_moment_mub_per_atom=0.070 space_group=P-6m2 pbc="T T T"
Y 0.0000 0.0000 2.1010
Y 0.0000 0.0000 12.8970
Y 1.7544 1.0129 4.8375
Y 1.7544 1.0129 10.1605
Cd 0.0000 0.0000 7.4990
Cu 1.7544 1.0129 0.0000
N 0.0000 2.0258 3.5869
N 0.0000 2.0258 11.4111


(4)
8
Lattice="4.3440 0.0000 0.0000 0.0000 4.3440 0.0000 0.0000 0.0000 8.5894" Properties=species:S:1:pos:R:3 comment="ErPbNO, optimized geometry, DFT GGA-PBE" de_polymorph_mev_per_atom=533 magnetic_moment_mub_per_atom=0.000 space_group=P4/nmm pbc="T T T"
Er 1.0860 3.2580 0.0000
Er 3.2580 1.0860 0.0000
Pb 1.0860 1.0860 3.2576
Pb 3.2580 3.2580 5.3318
N 1.0860 1.0860 7.9539
N 3.2580 3.2580 0.6355
O 1.0860 3.2580 4.2947
O 3.2580 1.0860 4.2947


(5)
24
Lattice="10.8951 0.0000 0.0000 0.0000 4.4136 0.0000 0.0000 0.0000 14.3160" Properties=species:S:1:pos:R:3 comment="BaNaTbSe3, optimized geometry, DFT GGA-PBE" de_polymorph_mev_per_atom=2 magnetic_moment_mub_per_atom=0.000 space_group=Pnma pbc="T T T"
Ba 2.6980 1.1034 0.0461
Ba 2.7495 3.3102 7.2041
Ba 8.1456 1.1034 7.1118
Ba 8.1971 3.3102 14.2698
Na 2.6804 3.3102 11.1207
Na 2.7672 1.1034 3.9627
Na 8.1279 3.3102 10.3533
Na 8.2147 1.1034 3.1953
Tb 0.0446 3.3102 3.5901
Tb 5.4030 1.1034 10.7481
Tb 5.4921 3.3102 3.5679
Tb 10.8505 1.1034 10.7259
Se 0.4569 3.3102 12.6521
Se 0.5470 1.1034 5.5098
Se 2.6839 1.1034 9.6060
Se 2.7636 3.3102 2.4480
Se 4.9006 3.3102 12.6678
Se 4.9907 1.1034 5.4941
Se 5.9044 3.3102 8.8219
Se 5.9945 1.1034 1.6481
Se 8.1314 1.1034 11.8679
Se 8.2112 3.3102 4.7100
Se 10.3481 3.3102 8.8061
Se 10.4382 1.1034 1.6639


(6)
4
Lattice="0.0000 3.3269 3.3269 3.3269 0.0000 3.3269 3.3269 3.3269 0.0000" Properties=species:S:1:pos:R:3 comment="RbTaBeNi, optimized geometry, DFT GGA-PBE" de_polymorph_mev_per_atom=33 magnetic_moment_mub_per_atom=0.000 space_group=F-43m pbc="T T T"
Rb 0.0000 0.0000 0.0000
Ta 3.3269 3.3269 3.3269
Be 4.9903 4.9903 4.9903
Ni 1.6634 1.6634 1.6634


How do the records compare in E? In the order shown, they have -4.33; -4.86; -6.74; -6.37; -4.73; -4.02 eV per atom.